Here is a relaxed structure of Tl2BiCl6 from Alexandria. Energies are from PBE.

Summary:
* excess energy over the best structure of this formula in the dataset: 0.025 eV/atom
* final energy: -54.80 eV per cell
* raw formation energy: -0.8565 eV/atom

a = 7.6217 Å, b = 13.2123 Å, c = 6.7641 Å
α = 90.00°, β = 112.30°, γ = 90.00°
Last column: nearest neighbours and their distance in Å.
Space group C2/m (No. 12)
Symmetry-distinct sites (fractional):
Tl (0.0000, 0.1669, 0.0000) [4 per cell]  6 Cl 3.07-3.09
Bi (0.0000, 0.5000, 0.0000) [2 per cell]  6 Cl 2.75
Cl (0.2205, 0.5000, 0.7592) [4 per cell]  1 Bi 2.75, 2 Tl 3.07
Cl (0.2318, 0.3503, 0.2450) [8 per cell]  1 Bi 2.75